Crystalline CaPm3Ho at its relaxed geometry. Source: Alexandria, functional PBE.

Cell lengths 6.3032, 6.3032, 11.3874 Å; angles 90.00, 90.00, 128.14 degrees
Last column: nearest neighbours and their distance in Å.
Atoms (fractional coordinates):
Ca: 0.1554 0.8446 0.0000  3 Ca 3.49-3.52, 2 Pm 3.51
Ca: 0.8446 0.1554 0.0000  3 Ca 3.49-3.52, 2 Pm 3.51
Pm: 0.1529 0.8471 0.3079  3 Ho 3.22-3.52, 5 Pm 3.47-3.53, 1 Ca 3.51
Pm: 0.1529 0.8471 0.6921  3 Ho 3.22-3.52, 5 Pm 3.47-3.53, 1 Ca 3.51
Pm: 0.5000 0.5000 0.1917  4 Pm 3.51, 2 Ho 3.85, 4 Ca 3.93
Pm: 0.5000 0.5000 0.8083  4 Pm 3.51, 2 Ho 3.85, 4 Ca 3.93
Pm: 0.8471 0.1529 0.3079  3 Ho 3.22-3.52, 5 Pm 3.47-3.53, 1 Ca 3.51
Pm: 0.8471 0.1529 0.6921  3 Ho 3.22-3.52, 5 Pm 3.47-3.53, 1 Ca 3.51
Ho: 0.3610 0.6390 0.5000  1 Ho 3.15, 6 Pm 3.22-3.52
Ho: 0.6390 0.3610 0.5000  1 Ho 3.15, 6 Pm 3.22-3.52

Output
Relative energy among the computed polymorphs   0.0 kJ per mole of atoms
Size of the total moment   0.0 Bohr magnetons per cell
Energy relative to the elements   0.17 eV per atom